A | An optimized crystal structure of LiYHfPd, computed with PBE.

a b c (Å): 4.7441 4.7441 4.7441
angles (deg): 60.00 60.00 60.00
Fractional positions:
Hf1 0.2500 0.2500 0.2500
Li1 0.7500 0.7500 0.7500
Pd1 0.5000 0.5000 0.5000
Y1 0.0000 0.0000 0.0000

Values from the calculation:
Calculated density (Mg/m³): 8.4

B | An optimized crystal structure of LiYHfPd, computed with PBE.

a b c (Å): 4.8477 4.8477 4.8477
angles (deg): 60.00 60.00 60.00
Fractional positions:
Hf1 0.5000 0.5000 0.5000
Li1 0.7500 0.7500 0.7500
Pd1 0.2500 0.2500 0.2500
Y1 0.0000 0.0000 0.0000

Values from the calculation:
Calculated density (Mg/m³): 7.8

B ends up most stable, edging out the next structure by 0.152 eV/atom.

A | An optimized crystal structure of RbLiHfS3, computed with PBE.

a b c (Å): 8.7911 3.8118 9.2677
angles (deg): 90.00 111.11 90.00
Fractional positions:
Hf1 0.8240 0.2500 0.3427
Hf2 0.1760 0.7500 0.6573
Li1 0.5769 0.7500 0.1002
Li2 0.4231 0.2500 0.8998
Rb1 0.2821 0.2500 0.2434
Rb2 0.7179 0.7500 0.7566
S1 0.7141 0.2500 0.0583
S2 0.0299 0.7500 0.3534
S3 0.6405 0.7500 0.3700
S4 0.3595 0.2500 0.6300
S5 0.9701 0.2500 0.6466
S6 0.2859 0.7500 0.9417

Values from the calculation:
Calculated density (Mg/m³): 4.2

B | An optimized crystal structure of RbLiHfS3, computed with PBE.

a b c (Å): 7.5305 7.5305 9.9428
angles (deg): 90.00 90.00 150.83
Fractional positions:
Hf1 0.5000 0.5000 0.0000
Hf2 0.5000 0.5000 0.5000
Li1 0.0403 0.9597 0.2500
Li2 0.9597 0.0403 0.7500
Rb1 0.7607 0.2393 0.2500
Rb2 0.2393 0.7607 0.7500
S1 0.1156 0.8844 0.0441
S2 0.4493 0.5507 0.2500
S3 0.1156 0.8844 0.4559
S4 0.8844 0.1156 0.5441
S5 0.5507 0.4493 0.7500
S6 0.8844 0.1156 0.9559

Values from the calculation:
Calculated density (Mg/m³): 4.4

A ends up most stable, edging out the next structure by 0.006 eV/atom.

A | An optimized crystal structure of LiHf2Re, computed with PBE.

a b c (Å): 4.3371 4.3371 10.4895
angles (deg): 90.00 90.00 120.00
Fractional positions:
Hf1 0.6667 0.3333 0.0912
Hf2 0.6667 0.3333 0.4088
Hf3 0.3333 0.6667 0.5912
Hf4 0.3333 0.6667 0.9088
Li1 0.3333 0.6667 0.2500
Li2 0.6667 0.3333 0.7500
Re1 0.0000 0.0000 0.0000
Re2 0.0000 0.0000 0.5000

Values from the calculation:
Calculated density (Mg/m³): 10.7

B | An optimized crystal structure of LiHf2Re, computed with PBE.

a b c (Å): 4.7687 4.7687 7.7938
angles (deg): 90.00 90.00 120.00
Fractional positions:
Hf1 0.6667 0.3333 0.0840
Hf2 0.6667 0.3333 0.4160
Hf3 0.3333 0.6667 0.5840
Hf4 0.3333 0.6667 0.9160
Li1 0.0000 0.0000 0.0000
Li2 0.0000 0.0000 0.5000
Re1 0.3333 0.6667 0.2500
Re2 0.6667 0.3333 0.7500

Values from the calculation:
Calculated density (Mg/m³): 11.9

C | An optimized crystal structure of LiHf2Re, computed with PBE.

a b c (Å): 4.5864 4.5864 3.3262
angles (deg): 90.00 90.00 90.00
Fractional positions:
Hf1 0.5000 0.0000 0.5000
Hf2 0.0000 0.5000 0.5000
Li1 0.0000 0.0000 0.0000
Re1 0.5000 0.5000 0.0000

Values from the calculation:
Calculated density (Mg/m³): 13.1

C ends up most stable, edging out the next structure by 0.501 eV/atom.